Material: Li2Zn2MoO6
Method: DFT, GGA+U
State: relaxed

Cell lengths 5.2125, 5.2125, 5.3517 Å; angles 101.82, 101.82, 116.54 degrees
Closest atoms and distances in Å follow each position.
Fractional positions:
Li 0.8200 0.1800 0.0000  6 O 2.17-2.22
Li 0.1800 0.8200 0.0000  6 O 2.17-2.22
Zn 0.3384 0.6616 0.5000  6 O 2.07-2.31
Zn 0.6616 0.3384 0.5000  6 O 2.07-2.31
Mo 0.0000 0.0000 0.5000  6 O 1.96-1.97
O 0.7765 0.7765 0.7129  1 Mo 1.97, 2 Zn 2.07
O 0.0620 0.3813 0.7311  1 Mo 1.96, 1 Zn 2.09, 1 Li 2.17
O 0.2235 0.2235 0.2871  1 Mo 1.97, 2 Zn 2.07
O 0.3813 0.0620 0.7311  1 Mo 1.96, 1 Zn 2.09, 1 Li 2.17
O 0.9380 0.6187 0.2689  1 Mo 1.96, 1 Zn 2.09, 1 Li 2.17
O 0.6187 0.9380 0.2689  1 Mo 1.96, 1 Zn 2.09, 1 Li 2.17

Output
Symmetry: C2/m (12)
V (Å³/cell): 120
E_tot (eV per atom): -5.495